1.
This record from the Alexandria database describes a relaxed structure of Pm8Mg2Rh. The functional is PBE.

Calculated values
* crystal system: monoclinic
* energy relative to the elements: -0.116 eV/atom
* DOS at the Fermi energy: 1.1450 states/eV/atom
* calculated volume: 30.50 A^3/atom

Unit cell a=17.7536 b=5.6497 c=7.1467 alpha=90.00 beta=110.61 gamma=90.00
Closest atoms and distances in Å follow each position.
Space group C2/m (No. 12)
One atom of each set of equivalent atoms:
Pm 0.0138 0.0000 0.2769  1 Mg 3.29, 2 Rh 3.30, 6 Pm 3.39-3.64
Pm 0.0999 0.5000 0.9056  1 Rh 2.82
Pm 0.1456 0.5000 0.4246  1 Rh 2.82
Pm 0.1948 0.0000 0.7499  3 Mg 3.24-3.48, 4 Pm 3.47-3.61
Mg 0.1841 0.0000 0.1926  9 Pm 3.24-3.50
Rh 0.0000 0.5000 0.5000  4 Pm 2.82

---

2.
This record from the Alexandria database describes a relaxed structure of PmMg5Rh6. The functional is PBE.

Calculated values
* crystal system: monoclinic
* energy relative to the elements: -0.518 eV/atom
* DOS at the Fermi energy: 0.5090 states/eV/atom
* calculated volume: 16.25 A^3/atom

Unit cell a=4.4958 b=6.4404 c=7.0983 alpha=90.00 beta=108.39 gamma=90.00
Closest atoms and distances in Å follow each position.
Space group P2/m (No. 10)
One atom of each set of equivalent atoms:
Pm 0.0000 0.0000 0.0000  8 Rh 2.82-2.84
Mg 0.0000 0.5000 0.0000  8 Rh 2.71-2.78
Mg 0.3292 0.0000 0.6567  8 Rh 2.70-2.87
Mg 0.3340 0.5000 0.6669  8 Rh 2.69-2.74
Rh 0.1700 0.2582 0.3415  7 Mg 2.69-2.80, 1 Pm 2.84
Rh 0.5000 0.2643 0.0000  6 Mg 2.71-2.87, 2 Pm 2.82

---

3.
This record from the Alexandria database describes a relaxed structure of PmMg3Rh4. The functional is PBE.

Calculated values
* crystal system: tetragonal
* energy relative to the elements: -0.536 eV/atom
* DOS at the Fermi energy: 0.5160 states/eV/atom
* calculated volume: 16.81 A^3/atom

Unit cell a=4.5538 b=4.5538 c=6.4853 alpha=90.00 beta=90.00 gamma=90.00
Closest atoms and distances in Å follow each position.
Space group P4/mmm (No. 123)
One atom of each set of equivalent atoms:
Pm 0.0000 0.0000 0.0000  8 Rh 2.86
Mg 0.0000 0.0000 0.5000  8 Rh 2.74
Mg 0.5000 0.5000 0.0000  8 Rh 2.86
Mg 0.5000 0.5000 0.5000  8 Rh 2.74
Rh 0.0000 0.5000 0.2661  6 Mg 2.74-2.86, 2 Pm 2.86, 1 Rh 3.03

---

4.
This record from the Alexandria database describes a relaxed structure of PmMg12Rh6. The functional is PBE.

Calculated values
* crystal system: trigonal
* energy relative to the elements: -0.254 eV/atom
* DOS at the Fermi energy: 0.5565 states/eV/atom
* calculated volume: 19.74 A^3/atom

Unit cell a=11.7959 b=11.7959 c=9.3394 alpha=90.00 beta=90.00 gamma=120.00
Closest atoms and distances in Å follow each position.
Space group R-3m (No. 166, hexagonal axes)
One atom of each set of equivalent atoms:
Pm 0.0000 0.0000 0.0000  18 Mg 3.73-4.00, 6 Rh 3.80
Mg 0.0000 0.3804 0.5000  4 Rh 2.57-2.62, 1 Mg 2.82
Mg 0.0891 0.1781 0.3483  3 Rh 2.66-2.71
Rh 0.0336 0.5168 0.2663  7 Mg 2.57-2.71

---

5.
This record from the Alexandria database describes a relaxed structure of Pm8MgRh2. The functional is PBE.

Calculated values
* crystal system: monoclinic
* energy relative to the elements: -0.228 eV/atom
* DOS at the Fermi energy: 1.2615 states/eV/atom
* calculated volume: 30.45 A^3/atom

Unit cell a=8.7361 b=13.9324 c=5.6508 alpha=90.00 beta=103.06 gamma=90.00
Closest atoms and distances in Å follow each position.
Space group C2/m (No. 12)
One atom of each set of equivalent atoms:
Pm 0.0000 0.2479 0.0000  2 Rh 2.89
Pm 0.1005 0.0000 0.8003  4 Pm 3.16-3.45, 2 Rh 3.33, 1 Mg 3.42
Pm 0.2052 0.3738 0.5652  2 Rh 2.89-2.94
Mg 0.0000 0.5000 0.0000  12 Pm 3.42-3.79
Rh 0.0000 0.2041 0.5000  6 Pm 2.89-2.94

---

6.
This record from the Alexandria database describes a relaxed structure of Pm6MgRh2. The functional is PBE.

Calculated values
* crystal system: monoclinic
* energy relative to the elements: -0.308 eV/atom
* offset from the most stable computed form: 0.80 eV per formula unit
* DOS at the Fermi energy: 0.9436 states/eV/atom
* calculated volume: 29.73 A^3/atom

Unit cell a=11.7808 b=3.7990 c=12.0590 alpha=90.00 beta=97.51 gamma=90.00
Closest atoms and distances in Å follow each position.
Space group C2/m (No. 12)
One atom of each set of equivalent atoms:
Pm 0.0484 0.0000 0.2863  2 Rh 2.94
Pm 0.1434 0.5000 0.5546  2 Rh 2.83
Pm 0.2001 0.5000 0.8670  2 Rh 2.91
Mg 0.0000 0.0000 0.0000  8 Pm 3.43-3.68, 2 Mg 3.80
Rh 0.2399 0.5000 0.2990  6 Pm 2.83-2.94

---

7.
This record from the Alexandria database describes a relaxed structure of Pm2Mg2Rh15. The functional is PBE.

Calculated values
* crystal system: trigonal
* energy relative to the elements: -0.278 eV/atom
* DOS at the Fermi energy: 1.4928 states/eV/atom
* calculated volume: 16.50 A^3/atom

Unit cell a=9.0320 b=9.0320 c=13.3114 alpha=90.00 beta=90.00 gamma=120.00
Closest atoms and distances in Å follow each position.
Space group R-3m (No. 166, hexagonal axes)
One atom of each set of equivalent atoms:
Pm 0.0000 0.0000 0.1506  15 Rh 3.16-3.43, 1 Mg 3.27
Mg 0.0000 0.0000 0.3963  12 Rh 2.74-3.04, 1 Mg 2.76
Rh 0.0000 0.3001 0.5000  8 Rh 2.61-2.80
Rh 0.0000 0.5000 0.0000  8 Rh 2.61-2.62, 2 Mg 2.74
Rh 0.0010 0.5005 0.6506  8 Rh 2.62-2.80, 1 Mg 2.82

---

8.
This record from the Alexandria database describes a relaxed structure of PmMg2Rh3. The functional is PBE.

Calculated values
* crystal system: trigonal
* energy relative to the elements: -0.557 eV/atom
* offset from the most stable computed form: 0.08 eV per formula unit
* DOS at the Fermi energy: 0.4599 states/eV/atom
* calculated volume: 17.41 A^3/atom

Unit cell a=4.5977 b=4.5977 c=11.4109 alpha=90.00 beta=90.00 gamma=120.00
Closest atoms and distances in Å follow each position.
Space group P-3m1 (No. 164)
One atom of each set of equivalent atoms:
Pm 0.3333 0.6667 0.1743  8 Rh 2.83-2.94
Mg 0.0000 0.0000 0.0000  8 Rh 2.82-2.99
Mg 0.0000 0.0000 0.5000  8 Rh 2.72-2.80
Mg 0.3333 0.6667 0.6531  7 Rh 2.64-2.83
Rh 0.0000 0.0000 0.2619  5 Mg 2.72-2.99, 3 Pm 2.84
Rh 0.3333 0.6667 0.4219  7 Mg 2.64-2.80, 1 Pm 2.83
Rh 0.3333 0.6667 0.9170  4 Mg 2.82-3.01, 4 Pm 2.85-2.94

---

9.
This record from the Alexandria database describes a relaxed structure of Pm5Mg4Rh4. The functional is PBE.

Calculated values
* crystal system: tetragonal
* energy relative to the elements: -0.523 eV/atom
* DOS at the Fermi energy: 0.5893 states/eV/atom
* calculated volume: 22.85 A^3/atom

Unit cell a=11.7539 b=11.7539 c=4.3003 alpha=90.00 beta=90.00 gamma=90.00
Closest atoms and distances in Å follow each position.
Space group I4/m (No. 87)
One atom of each set of equivalent atoms:
Pm 0.0000 0.0000 0.0000  4 Rh 3.03
Pm 0.1279 0.7967 0.5000  5 Rh 3.01-3.21, 3 Mg 3.31-3.36
Mg 0.0842 0.3954 0.5000  3 Rh 2.76-2.84
Rh 0.0701 0.2484 0.0000  3 Mg 2.76-2.84, 4 Pm 3.01-3.03

---

10.
This record from the Alexandria database describes a relaxed structure of PmMg2Rh3. The functional is PBE.

Calculated values
* crystal system: trigonal
* energy relative to the elements: -0.570 eV/atom
* offset from the most stable computed form: 0.00 eV per formula unit
* DOS at the Fermi energy: 0.3221 states/eV/atom
* calculated volume: 17.39 A^3/atom

Unit cell a=4.6025 b=4.6025 c=5.6873 alpha=90.00 beta=90.00 gamma=120.00
Closest atoms and distances in Å follow each position.
Space group P-3m1 (No. 164)
One atom of each set of equivalent atoms:
Pm 0.0000 0.0000 0.0000  8 Rh 2.84-2.85
Mg 0.3333 0.6667 0.6536  8 Rh 2.68-3.00
Rh 0.0000 0.0000 0.5000  6 Mg 2.80, 2 Pm 2.84
Rh 0.3333 0.6667 0.1818  5 Mg 2.68-3.00, 3 Pm 2.85

---

11.
This record from the Alexandria database describes a relaxed structure of Pm8Mg3Rh2. The functional is PBE.

Calculated values
* crystal system: monoclinic
* energy relative to the elements: -0.157 eV/atom
* DOS at the Fermi energy: 1.1283 states/eV/atom
* calculated volume: 30.27 A^3/atom

Unit cell a=17.4503 b=8.0870 c=5.8428 alpha=90.00 beta=107.32 gamma=90.00
Closest atoms and distances in Å follow each position.
Space group C2/m (No. 12)
One atom of each set of equivalent atoms:
Pm 0.0886 0.0000 0.2576  1 Rh 2.86
Pm 0.1491 0.2368 0.7992  2 Rh 2.86-2.87
Pm 0.1913 0.5000 0.3279  2 Rh 2.98-3.33
Mg 0.0000 0.3316 0.0000  1 Mg 2.72
Mg 0.0000 0.5000 0.5000  4 Mg 3.22, 4 Pm 3.41
Rh 0.2366 0.0000 0.1404  6 Pm 2.86-2.98